This record from the Alexandria database describes a relaxed structure of SmBiRhAu. The functional is PBE.

Unit cell a=5.007 b=5.007 c=5.007 alpha=60.00 beta=60.00 gamma=60.00
Positions (direct):
Sm: 0.000 0.000 0.000
Bi: 0.500 0.500 0.500
Rh: 0.250 0.250 0.250
Au: 0.750 0.750 0.750

Results
For the formation enthalpy at 0 K, the calculation gives -480 meV/atom. The space-group type is F-43m (216). For the volume, the calculation gives 89 Å³/cell.